Material: Pm4OsCCl2
Method: DFT, PBE-GGA
State: optimized geometry

Cell and atoms, written as POSCAR:
```
Pm4OsCCl2
1.0
6.9406 0.0000 0.0000
0.0000 3.9155 0.0000
-2.1145 0.0000 7.2803
Pm Os C Cl
4 1 1 2
Direct
0.2232 0.0000 0.1862 Pm
0.2384 0.5000 0.7989 Pm
0.7616 0.5000 0.2011 Pm
0.7768 0.0000 0.8138 Pm
0.5000 0.0000 0.0000 Os
0.0000 0.5000 0.0000 C
0.0000 0.0000 0.5000 Cl
0.5000 0.5000 0.5000 Cl
```

Computed properties:
Formation energy without anion corrections (eV per formula unit): -6.82



Material: GdPuPd
Method: DFT, PBE-GGA
State: optimized geometry

Cell and atoms, written as POSCAR:
```
GdPuPd
1.0
0.0000 3.4692 3.4692
3.4692 0.0000 3.4692
3.4692 3.4692 0.0000
Gd Pu Pd
1 1 1
Direct
0.0000 0.0000 0.0000 Gd
0.5000 0.5000 0.5000 Pu
0.7500 0.7500 0.7500 Pd
```

Computed properties:
ΔH_f (0 K) (eV per atom): -0.2281
Excess energy over the best structure of this formula in the dataset (eV per atom): 0.0000



Material: ScCrNiGe
Method: DFT, PBE-GGA
State: optimized geometry

Cell and atoms, written as POSCAR:
```
ScCrNiGe
1.0
2.0788 1.2002 4.3329
-2.0788 1.2002 4.3329
0.0000 -2.4004 4.3329
Sc Cr Ni Ge
1 1 1 1
Direct
0.0000 0.0000 0.0000 Sc
0.5368 0.5368 0.5368 Cr
0.2005 0.2005 0.2005 Ni
0.7839 0.7839 0.7839 Ge
```

Computed properties:
ΔH_f (0 K) (eV per atom): -0.2686
Excess energy over the best structure of this formula in the dataset (eV per atom): 0.0000



Material: CaPrMg
Method: DFT, PBE-GGA
State: optimized geometry

Cell and atoms, written as POSCAR:
```
CaPrMg
1.0
0.0000 5.4585 7.8201
5.4441 0.0000 7.8201
5.4441 5.4585 0.0000
Ca Pr Mg
4 4 4
Direct
0.0046 0.0046 0.7454 Ca
0.2546 0.2546 0.9954 Ca
0.7454 0.7454 0.0046 Ca
0.9954 0.9954 0.2546 Ca
0.2560 0.2560 0.4940 Pr
0.4940 0.4940 0.2560 Pr
0.5060 0.5060 0.7440 Pr
0.7440 0.7440 0.5060 Pr
0.1235 0.6265 0.6265 Mg
0.3735 0.8765 0.8765 Mg
0.6265 0.1235 0.1235 Mg
0.8765 0.3735 0.3735 Mg
```

Computed properties:
ΔH_f (0 K) (eV per atom): 0.2786
Excess energy over the best structure of this formula in the dataset (eV per atom): 0.3334



Material: Na3Er3NbO8
Method: DFT, PBE-GGA
State: optimized geometry

Cell and atoms, written as POSCAR:
```
Na3Er3NbO8
1.0
3.3485 1.9333 5.5666
-3.3485 1.9333 5.5666
0.0000 -3.8665 5.5666
Na Er Nb O
3 3 1 8
Direct
0.0000 0.5000 0.5000 Na
0.5000 0.0000 0.5000 Na
0.5000 0.5000 0.0000 Na
0.0000 0.0000 0.5000 Er
0.0000 0.5000 0.0000 Er
0.5000 0.0000 0.0000 Er
0.5000 0.5000 0.5000 Nb
0.2368 0.2368 0.2368 O
0.2529 0.7212 0.7212 O
0.2788 0.2788 0.7471 O
0.2788 0.7471 0.2788 O
0.7212 0.2529 0.7212 O
0.7212 0.7212 0.2529 O
0.7471 0.2788 0.2788 O
0.7632 0.7632 0.7632 O
```

Computed properties:
Formation energy without anion corrections (eV per formula unit): -41.06



Material: CoSi2Bi
Method: DFT, PBE-GGA
State: optimized geometry

Cell and atoms, written as POSCAR:
```
CoSi2Bi
1.0
-2.3231 2.3231 7.4170
2.3231 -2.3231 7.4170
2.3231 2.3231 -7.4170
Co Si Bi
2 4 2
Direct
0.0000 0.0000 0.0000 Co
0.7500 0.2500 0.5000 Co
0.3750 0.2175 0.3425 Si
0.7825 0.1250 0.1575 Si
0.8750 0.0325 0.6575 Si
0.9675 0.6250 0.8425 Si
0.2500 0.7500 0.5000 Bi
0.5000 0.5000 0.0000 Bi
```

Computed properties:
Formation energy without anion corrections (eV per formula unit): 0.80



Material: Be2CoAs
Method: DFT, PBE-GGA
State: optimized geometry

Cell and atoms, written as POSCAR:
```
Be2CoAs
1.0
2.3106 -4.0015 0.0000
2.3106 4.0015 0.0000
-1.3482 0.0000 2.4633
Be Co As
2 1 1
Direct
0.0000 0.5000 0.0000 Be
0.5000 0.0000 0.0000 Be
0.0000 0.0000 0.0000 Co
0.5000 0.5000 0.0000 As
```

Computed properties:
ΔH_f (0 K) (eV per atom): 0.1597



Material: Dy2Os2C3
Method: DFT, PBE-GGA
State: optimized geometry

Cell and atoms, written as POSCAR:
```
Dy2Os2C3
1.0
5.7127 -1.7081 0.0000
5.7127 1.7081 0.0000
-2.2517 0.0000 5.1431
Dy Os C
2 2 3
Direct
0.1095 0.1095 0.3197 Dy
0.8905 0.8905 0.6803 Dy
0.3431 0.3431 0.1783 Os
0.6569 0.6569 0.8217 Os
0.2485 0.2485 0.7704 C
0.5000 0.5000 0.5000 C
0.7515 0.7515 0.2296 C
```

Computed properties:
ΔH_f (0 K) (eV per atom): -0.2279



Material: FeRe2Au
Method: DFT, PBE-GGA
State: optimized geometry

Cell and atoms, written as POSCAR:
```
FeRe2Au
1.0
2.7774 0.0000 0.0000
0.0000 2.7774 0.0000
0.0000 0.0000 7.7715
Fe Re Au
1 2 1
Direct
0.0000 0.0000 0.0000 Fe
0.0000 0.0000 0.4665 Re
0.5000 0.5000 0.2306 Re
0.5000 0.5000 0.7460 Au
```

Computed properties:
ΔH_f (0 K) (eV per atom): 0.2665
Excess energy over the best structure of this formula in the dataset (eV per atom): 0.0479



Material: Pr3GaSn2
Method: DFT, PBE-GGA
State: optimized geometry

Cell and atoms, written as POSCAR:
```
Pr3GaSn2
1.0
12.7290 0.0000 0.0000
0.0000 4.5344 0.0000
0.0000 0.0000 12.3886
Pr Ga Sn
12 4 8
Direct
0.0526 0.2500 0.1213 Pr
0.1225 0.7500 0.5580 Pr
0.2152 0.2500 0.7963 Pr
0.2848 0.7500 0.2963 Pr
0.3775 0.2500 0.0580 Pr
0.4474 0.7500 0.6213 Pr
0.5526 0.2500 0.3787 Pr
0.6225 0.7500 0.9420 Pr
0.7152 0.2500 0.7037 Pr
0.7848 0.7500 0.2037 Pr
0.8775 0.2500 0.4420 Pr
0.9474 0.7500 0.8787 Pr
0.1336 0.2500 0.3645 Ga
0.3664 0.7500 0.8645 Ga
0.6336 0.2500 0.1355 Ga
0.8664 0.7500 0.6355 Ga
0.0129 0.7500 0.3114 Sn
0.1897 0.7500 0.0023 Sn
0.3103 0.2500 0.5023 Sn
0.4871 0.2500 0.8114 Sn
0.5129 0.7500 0.1886 Sn
0.6897 0.7500 0.4977 Sn
0.8103 0.2500 0.9977 Sn
0.9871 0.2500 0.6886 Sn
```

Computed properties:
ΔH_f (0 K) (eV per atom): -0.6910



Material: LaY2Zr
Method: DFT, PBE-GGA
State: optimized geometry

Cell and atoms, written as POSCAR:
```
LaY2Zr
1.0
3.4543 0.0000 0.0000
0.0000 3.4543 0.0000
0.0000 0.0000 10.3090
La Y Zr
1 2 1
Direct
0.0000 0.0000 0.0000 La
0.5000 0.5000 0.2793 Y
0.5000 0.5000 0.7207 Y
0.0000 0.0000 0.5000 Zr
```

Computed properties:
ΔH_f (0 K) (eV per atom): 0.0788
Excess energy over the best structure of this formula in the dataset (eV per atom): 0.0031



Material: VAg3P
Method: DFT, PBE-GGA
State: optimized geometry

Cell and atoms, written as POSCAR:
```
VAg3P
1.0
4.9375 0.0000 0.0000
0.0000 4.9375 0.0000
0.0000 0.0000 4.9375
V Ag P
1 3 1
Direct
0.0000 0.0000 0.0000 V
0.0000 0.0000 0.5000 Ag
0.0000 0.5000 0.0000 Ag
0.5000 0.0000 0.0000 Ag
0.5000 0.5000 0.5000 P
```

Computed properties:
ΔH_f (0 K) (eV per atom): 1.5028
Excess energy over the best structure of this formula in the dataset (eV per atom): 0.8028



Material: Pr3YPt8
Method: DFT, PBE-GGA
State: optimized geometry

Cell and atoms, written as POSCAR:
```
Pr3YPt8
1.0
2.7569 1.5917 9.0113
-2.7569 1.5917 9.0113
0.0000 -3.1834 9.0113
Pr Y Pt
3 1 8
Direct
0.0000 0.0000 0.0000 Pr
0.1257 0.1257 0.1257 Pr
0.5014 0.5014 0.5014 Pr
0.6260 0.6260 0.6260 Y
0.0609 0.5630 0.5630 Pt
0.0638 0.0638 0.5644 Pt
0.0638 0.5644 0.0638 Pt
0.3130 0.3130 0.3130 Pt
0.5630 0.0609 0.5630 Pt
0.5630 0.5630 0.0609 Pt
0.5644 0.0638 0.0638 Pt
0.8131 0.8131 0.8131 Pt
```

Computed properties:
ΔH_f (0 K) (eV per atom): -1.0548



Material: DyYO2
Method: DFT, PBE-GGA
State: optimized geometry

Cell and atoms, written as POSCAR:
```
DyYO2
1.0
1.6929 0.9774 5.8498
-1.6929 0.9774 5.8498
0.0000 -1.9547 5.8498
Dy Y O
1 1 2
Direct
0.0000 0.0000 0.0000 Dy
0.8218 0.8218 0.8218 Y
0.4042 0.4042 0.4042 O
0.5822 0.5822 0.5822 O
```

Computed properties:
Formation energy without anion corrections (eV per formula unit): -10.83



Material: InTcS
Method: DFT, PBE-GGA
State: optimized geometry

Cell and atoms, written as POSCAR:
```
InTcS
1.0
3.0818 0.0000 0.0000
1.5223 6.0312 0.0000
0.0076 0.0332 6.3913
In Tc S
2 2 2
Direct
0.0324 0.4399 0.2842 In
0.9676 0.5601 0.7158 In
0.3439 0.8102 0.0050 Tc
0.6561 0.1898 0.9950 Tc
0.2125 0.0778 0.7420 S
0.7875 0.9222 0.2580 S
```

Computed properties:
Formation energy without anion corrections (eV per formula unit): -0.84
Excess energy over the best structure of this formula in the dataset (eV per atom): 0.0705



Material: RbOsF5
Method: DFT, PBE-GGA
State: optimized geometry

Cell and atoms, written as POSCAR:
```
RbOsF5
1.0
4.9301 -3.8688 0.0000
4.9301 3.8688 0.0000
-2.6313 0.0000 7.4258
Rb Os F
2 2 10
Direct
0.0305 0.9695 0.7500 Rb
0.9695 0.0305 0.2500 Rb
0.5000 0.5000 0.0000 Os
0.5000 0.5000 0.5000 Os
0.2120 0.7054 0.0212 F
0.2435 0.3515 0.4028 F
0.2946 0.7880 0.4788 F
0.3515 0.2435 0.9028 F
0.4374 0.5626 0.7500 F
0.5626 0.4374 0.2500 F
0.6485 0.7565 0.0972 F
0.7054 0.2120 0.5212 F
0.7565 0.6485 0.5972 F
0.7880 0.2946 0.9788 F
```

Computed properties:
Formation energy without anion corrections (eV per formula unit): -14.09



Material: PaAlCo
Method: DFT, PBE-GGA
State: optimized geometry

Cell and atoms, written as POSCAR:
```
PaAlCo
1.0
11.8128 0.0000 0.0000
0.0000 3.8942 0.0000
0.0000 0.0000 6.9008
Pa Al Co
6 6 6
Direct
0.0396 0.0000 0.2384 Pa
0.2500 0.0000 0.8672 Pa
0.4604 0.0000 0.2384 Pa
0.5396 0.0000 0.7616 Pa
0.7500 0.0000 0.1328 Pa
0.9604 0.0000 0.7616 Pa
0.1315 0.5000 0.5613 Al
0.2500 0.5000 0.2159 Al
0.3685 0.5000 0.5613 Al
0.6315 0.5000 0.4387 Al
0.7500 0.5000 0.7841 Al
0.8685 0.5000 0.4387 Al
0.1041 0.5000 0.9272 Co
0.2500 0.0000 0.4397 Co
0.3959 0.5000 0.9272 Co
0.6041 0.5000 0.0728 Co
0.7500 0.0000 0.5603 Co
0.8959 0.5000 0.0728 Co
```

Computed properties:
ΔH_f (0 K) (eV per atom): -0.4662
Excess energy over the best structure of this formula in the dataset (eV per atom): 0.0000



Material: P2BrCl
Method: DFT, PBE-GGA
State: optimized geometry

Cell and atoms, written as POSCAR:
```
P2BrCl
1.0
-1.6988 2.1616 7.0050
1.6988 -2.1616 7.0050
1.6988 2.1616 -7.0050
P Br Cl
2 1 1
Direct
0.0000 0.0000 0.0000 P
0.8894 0.3894 0.5000 P
0.3188 0.8188 0.5000 Br
0.5504 0.5504 0.0000 Cl
```

Computed properties:
Formation energy without anion corrections (eV per formula unit): 1.20
Excess energy over the best structure of this formula in the dataset (eV per atom): 0.5412



Material: KMnCr2
Method: DFT, PBE-GGA
State: optimized geometry

Cell and atoms, written as POSCAR:
```
KMnCr2
1.0
-1.5207 2.1819 7.0933
1.5207 -2.1819 7.0933
1.5207 2.1819 -7.0933
K Mn Cr
1 1 2
Direct
0.0000 0.0000 0.0000 K
0.2176 0.7176 0.5000 Mn
0.3232 0.3232 0.0000 Cr
0.7425 0.2425 0.5000 Cr
```

Computed properties:
ΔH_f (0 K) (eV per atom): 1.0360
Excess energy over the best structure of this formula in the dataset (eV per atom): 0.2701



Material: Ce2PuThSe4
Method: DFT, PBE-GGA
State: optimized geometry

Cell and atoms, written as POSCAR:
```
Ce2PuThSe4
1.0
7.2190 0.0000 0.0000
0.0000 4.1672 0.0000
-2.4055 0.0000 6.8874
Ce Pu Th Se
2 1 1 4
Direct
0.0000 0.0000 0.0000 Ce
0.0000 0.5000 0.5000 Ce
0.5000 0.0000 0.5000 Pu
0.5000 0.5000 0.0000 Th
0.2506 0.0000 0.7459 Se
0.2537 0.5000 0.2553 Se
0.7463 0.5000 0.7447 Se
0.7494 0.0000 0.2541 Se
```

Computed properties:
Formation energy without anion corrections (eV per formula unit): -13.49



Material: CaPmNd6Tm2
Method: DFT, PBE-GGA
State: optimized geometry

Cell and atoms, written as POSCAR:
```
CaPmNd6Tm2
1.0
4.6299 -7.7226 0.0000
4.6299 7.7226 0.0000
-1.4246 0.0000 9.7936
Ca Pm Nd Tm
2 2 12 4
Direct
0.0980 0.9020 0.7500 Ca
0.9020 0.0980 0.2500 Ca
0.4716 0.5284 0.2500 Pm
0.5284 0.4716 0.7500 Pm
0.0052 0.7929 0.3784 Nd
0.0645 0.5255 0.1765 Nd
0.2071 0.9948 0.1216 Nd
0.2613 0.6101 0.5522 Nd
0.3899 0.7387 0.9478 Nd
0.4745 0.9355 0.3235 Nd
0.5255 0.0645 0.6765 Nd
0.6101 0.2613 0.0522 Nd
0.7387 0.3899 0.4478 Nd
0.7929 0.0052 0.8784 Nd
0.9355 0.4745 0.8235 Nd
0.9948 0.2071 0.6216 Nd
0.2026 0.3025 0.9546 Tm
0.3025 0.2026 0.4546 Tm
0.6975 0.7974 0.5454 Tm
0.7974 0.6975 0.0454 Tm
```

Computed properties:
ΔH_f (0 K) (eV per atom): 0.1330



Material: La2HoH12Rh3
Method: DFT, PBE-GGA
State: optimized geometry

Cell and atoms, written as POSCAR:
```
La2HoH12Rh3
1.0
3.3365 1.9263 4.7473
-3.3365 1.9263 4.7473
0.0000 -3.8526 4.7473
La Ho H Rh
2 1 12 3
Direct
0.1158 0.1158 0.1158 La
0.8842 0.8842 0.8842 La
0.5000 0.5000 0.5000 Ho
0.0947 0.6306 0.6306 H
0.2093 0.2093 0.6146 H
0.2093 0.6146 0.2093 H
0.3694 0.3694 0.9053 H
0.3694 0.9053 0.3694 H
0.3854 0.7907 0.7907 H
0.6146 0.2093 0.2093 H
0.6306 0.0947 0.6306 H
0.6306 0.6306 0.0947 H
0.7907 0.3854 0.7907 H
0.7907 0.7907 0.3854 H
0.9053 0.3694 0.3694 H
0.0000 0.5000 0.5000 Rh
0.5000 0.0000 0.5000 Rh
0.5000 0.5000 0.0000 Rh
```

Computed properties:
VASP energy (eV per atom): -4.675



Material: Ac2AgGe3Pd4
Method: DFT, PBE-GGA
State: optimized geometry

Cell and atoms, written as POSCAR:
```
Ac2AgGe3Pd4
1.0
4.4658 0.0000 0.0000
0.0000 4.4658 0.0000
0.0000 0.0000 10.5629
Ac Ag Ge Pd
2 1 3 4
Direct
0.0000 0.5000 0.2479 Ac
0.5000 0.0000 0.7521 Ac
0.5000 0.5000 0.0000 Ag
0.0000 0.0000 0.0000 Ge
0.0000 0.5000 0.6200 Ge
0.5000 0.0000 0.3800 Ge
0.0000 0.0000 0.5000 Pd
0.0000 0.5000 0.8567 Pd
0.5000 0.0000 0.1433 Pd
0.5000 0.5000 0.5000 Pd
```

Computed properties:
ΔH_f (0 K) (eV per atom): -0.7343